No. 1
Compound: Hf2SnS
Source: the Alexandria database
Functional: PBE
Structure: relaxed

Summary:
Excess energy over the best structure of this formula in the dataset in meV per atom: 50.9
E_form (uncorrected) in eV/atom: -0.712
M_tot in μB/atom: 0.00
Uncorrected energy in eV/atom: -7.72

Lattice parameters (Å, degrees): 7.195 7.195 7.195 29.85 29.85 29.85
Fractional coordinates of all 4 atoms:
Hf  0.230  0.230  0.230
Hf  0.770  0.770  0.770
Sn  0.000  0.000  0.000
S  0.500  0.500  0.500

No. 2
Compound: La3Tl2In4
Source: the Alexandria database
Functional: PBE
Structure: relaxed

Summary:
Excess energy over the best structure of this formula in the dataset in meV per atom: 0.0
ΔH_f (0 K) in eV per atom: -0.440
M_tot in μB/atom: 0.00
Uncorrected energy in eV/atom: -3.83

Lattice parameters (Å, degrees): 6.427 6.427 9.609 111.15 111.15 46.29
Fractional coordinates of all 9 atoms:
La  0.000  0.000  0.000
La  0.332  0.332  0.333
La  0.668  0.668  0.667
Tl  0.357  0.357  0.689
Tl  0.643  0.643  0.311
In  0.023  0.023  0.358
In  0.296  0.296  0.963
In  0.704  0.704  0.037
In  0.977  0.977  0.642

No. 3
Compound: BaLiIr2
Source: the Alexandria database
Functional: PBE
Structure: relaxed

Summary:
Excess energy over the best structure of this formula in the dataset in meV per atom: 292.3
ΔH_f (0 K) in eV per atom: 0.112
M_tot in μB/atom: 0.00
Uncorrected energy in eV/atom: -5.28

Lattice parameters (Å, degrees): 6.023 6.023 6.023 136.87 134.28 64.67
Fractional coordinates of all 4 atoms:
Ba  0.000  0.000  0.000
Li  0.751  0.251  0.500
Ir  0.271  0.771  0.500
Ir  0.355  0.355  0.000

No. 4
Compound: AlFe3H
Source: the Alexandria database
Functional: PBE
Structure: relaxed

Summary:
Excess energy over the best structure of this formula in the dataset in meV per atom: 297.8
M_tot in μB/atom: 0.83
Uncorrected energy in eV/atom: -6.37

Lattice parameters (Å, degrees): 2.693 2.693 16.094 90.00 90.00 120.00
Fractional coordinates of all 10 atoms:
Al  0.000  0.000  0.000
Al  0.000  0.000  0.500
Fe  0.000  0.000  0.250
Fe  0.000  0.000  0.750
Fe  0.333  0.667  0.127
Fe  0.333  0.667  0.373
Fe  0.667  0.333  0.627
Fe  0.667  0.333  0.873
H  0.333  0.667  0.250
H  0.667  0.333  0.750

No. 5
Compound: NaZn9Au2
Source: the Alexandria database
Functional: PBE
Structure: relaxed

Summary:
Excess energy over the best structure of this formula in the dataset in meV per atom: 80.0
ΔH_f (0 K) in eV per atom: -0.059
M_tot in μB/atom: 0.00
Uncorrected energy in eV/atom: -1.67

Lattice parameters (Å, degrees): 8.812 8.812 3.052 90.00 90.00 120.00
Fractional coordinates of all 12 atoms:
Na  0.000  0.000  0.000
Zn  0.000  0.500  0.000
Zn  0.178  0.357  0.500
Zn  0.178  0.822  0.500
Zn  0.357  0.178  0.500
Zn  0.500  0.000  0.000
Zn  0.500  0.500  0.000
Zn  0.643  0.822  0.500
Zn  0.822  0.178  0.500
Zn  0.822  0.643  0.500
Au  0.333  0.667  0.000
Au  0.667  0.333  0.000

No. 6
Compound: Tm4RuPb
Source: the Alexandria database
Functional: PBE
Structure: relaxed

Summary:
ΔH_f (0 K) in eV per atom: -0.431
M_tot in μB/atom: 0.00
Uncorrected energy in eV/atom: -5.58

Lattice parameters (Å, degrees): 7.965 7.965 6.077 102.31 102.31 112.68
Fractional coordinates of all 12 atoms:
Tm  0.056  0.724  0.938
Tm  0.205  0.347  0.650
Tm  0.276  0.944  0.562
Tm  0.347  0.205  0.150
Tm  0.653  0.795  0.850
Tm  0.724  0.056  0.438
Tm  0.795  0.653  0.350
Tm  0.944  0.276  0.062
Ru  0.000  0.000  0.250
Ru  0.000  0.000  0.750
Pb  0.370  0.630  0.250
Pb  0.630  0.370  0.750

No. 7
Compound: CsMg2TlZn
Source: the Alexandria database
Functional: PBE
Structure: relaxed

Summary:
Excess energy over the best structure of this formula in the dataset in meV per atom: 781.6
ΔH_f (0 K) in eV per atom: 0.950
M_tot in μB/atom: 0.00
Uncorrected energy in eV/atom: -0.59

Lattice parameters (Å, degrees): 6.798 6.798 6.369 90.00 90.00 90.00
Fractional coordinates of all 5 atoms:
Cs  0.000  0.000  0.000
Mg  0.000  0.500  0.000
Mg  0.500  0.000  0.000
Tl  0.500  0.500  0.500
Zn  0.000  0.000  0.500

No. 8
Compound: YSi4Tc9
Source: the Alexandria database
Functional: PBE
Structure: relaxed

Summary:
E_form (uncorrected) in eV/atom: -0.287
M_tot in μB/atom: 0.00
Uncorrected energy in eV/atom: -8.96

Lattice parameters (Å, degrees): 8.632 8.632 8.632 122.38 122.38 85.92
Fractional coordinates of all 28 atoms:
Y  0.250  0.250  0.000
Y  0.750  0.750  0.000
Si  0.038  0.538  0.833
Si  0.206  0.038  0.500
Si  0.294  0.794  0.833
Si  0.462  0.294  0.500
Si  0.538  0.706  0.500
Si  0.706  0.206  0.167
Si  0.794  0.962  0.500
Si  0.962  0.462  0.167
Tc  0.000  0.500  0.500
Tc  0.047  0.812  0.500
Tc  0.068  0.191  0.258
Tc  0.188  0.688  0.235
Tc  0.191  0.932  0.123
Tc  0.309  0.432  0.742
Tc  0.312  0.547  0.500
Tc  0.432  0.691  0.123
Tc  0.453  0.953  0.765
Tc  0.500  0.000  0.500
Tc  0.547  0.047  0.235
Tc  0.568  0.309  0.877
Tc  0.688  0.453  0.500
Tc  0.691  0.568  0.258
Tc  0.809  0.068  0.877
Tc  0.812  0.312  0.765
Tc  0.932  0.809  0.742
Tc  0.953  0.188  0.500

No. 9
Compound: SrZn3Ni2
Source: the Alexandria database
Functional: PBE
Structure: relaxed

Summary:
ΔH_f (0 K) in eV per atom: -0.265
M_tot in μB/atom: 0.00
Uncorrected energy in eV/atom: -3.11

Lattice parameters (Å, degrees): 6.429 6.429 5.204 90.00 90.00 77.48
Fractional coordinates of all 12 atoms:
Sr  0.166  0.834  0.750
Sr  0.834  0.166  0.250
Zn  0.032  0.572  0.250
Zn  0.428  0.968  0.250
Zn  0.441  0.559  0.250
Zn  0.559  0.441  0.750
Zn  0.572  0.032  0.750
Zn  0.968  0.428  0.750
Ni  0.293  0.293  0.000
Ni  0.293  0.293  0.500
Ni  0.707  0.707  0.000
Ni  0.707  0.707  0.500

No. 10
Compound: Nd2Sn3Au2
Source: the Alexandria database
Functional: PBE
Structure: relaxed

Summary:
Excess energy over the best structure of this formula in the dataset in meV per atom: 0.0
ΔH_f (0 K) in eV per atom: -0.649
M_tot in μB/atom: 0.00
Uncorrected energy in eV/atom: -4.66

Lattice parameters (Å, degrees): 10.573 10.573 7.365 90.00 90.00 154.09
Fractional coordinates of all 14 atoms:
Nd  0.036  0.964  0.750
Nd  0.160  0.840  0.250
Nd  0.840  0.160  0.750
Nd  0.964  0.036  0.250
Sn  0.202  0.798  0.750
Sn  0.431  0.569  0.549
Sn  0.431  0.569  0.951
Sn  0.569  0.431  0.049
Sn  0.569  0.431  0.451
Sn  0.798  0.202  0.250
Au  0.298  0.702  0.032
Au  0.298  0.702  0.468
Au  0.702  0.298  0.532
Au  0.702  0.298  0.968

No. 11
Compound: PmPuCu2O8
Source: the Alexandria database
Functional: PBE
Structure: relaxed

Summary:
E_form (uncorrected) in eV/atom: -1.517
M_tot in μB/atom: 0.10
Uncorrected energy in eV/atom: -7.10

Lattice parameters (Å, degrees): 5.929 5.929 5.929 109.52 109.52 109.36
Fractional coordinates of all 12 atoms:
Pm  0.000  0.000  0.000
Pu  0.750  0.250  0.500
Cu  0.250  0.750  0.500
Cu  0.500  0.500  0.000
O  0.045  0.377  0.332
O  0.045  0.713  0.668
O  0.094  0.303  0.791
O  0.287  0.955  0.332
O  0.512  0.303  0.209
O  0.623  0.955  0.668
O  0.697  0.488  0.791
O  0.697  0.906  0.209

No. 12
Compound: La2Sm8Tm
Source: the Alexandria database
Functional: PBE
Structure: relaxed

Summary:
Excess energy over the best structure of this formula in the dataset in meV per atom: 126.5
ΔH_f (0 K) in eV per atom: 0.148
M_tot in μB/atom: 0.00
Uncorrected energy in eV/atom: -4.59

Lattice parameters (Å, degrees): 9.014 9.014 6.844 100.25 100.25 44.46
Fractional coordinates of all 11 atoms:
La  0.196  0.196  0.301
La  0.804  0.804  0.699
Sm  0.177  0.650  0.097
Sm  0.243  0.243  0.808
Sm  0.350  0.823  0.903
Sm  0.411  0.411  0.588
Sm  0.589  0.589  0.412
Sm  0.650  0.177  0.097
Sm  0.757  0.757  0.192
Sm  0.823  0.350  0.903
Tm  0.000  0.000  0.500

No. 13
Compound: NdSmTlCo
Source: the Alexandria database
Functional: PBE
Structure: relaxed

Summary:
ΔH_f (0 K) in eV per atom: -0.059
M_tot in μB/atom: 0.30
Uncorrected energy in eV/atom: -4.80

Lattice parameters (Å, degrees): 5.253 5.253 5.253 60.00 60.00 60.00
Fractional coordinates of all 4 atoms:
Nd  0.000  0.000  0.000
Sm  0.500  0.500  0.500
Tl  0.250  0.250  0.250
Co  0.750  0.750  0.750

No. 14
Compound: TbNd2Sm2
Source: the Alexandria database
Functional: PBE
Structure: relaxed

Summary:
Excess energy over the best structure of this formula in the dataset in meV per atom: 105.0
ΔH_f (0 K) in eV per atom: 0.133
M_tot in μB/atom: 0.00
Uncorrected energy in eV/atom: -4.59

Lattice parameters (Å, degrees): 16.594 16.594 16.594 167.42 159.77 23.89
Fractional coordinates of all 10 atoms:
Tb  0.327  0.077  0.250
Tb  0.673  0.923  0.750
Nd  0.043  0.793  0.250
Nd  0.442  0.692  0.750
Nd  0.558  0.308  0.250
Nd  0.957  0.207  0.750
Sm  0.131  0.381  0.750
Sm  0.229  0.479  0.750
Sm  0.771  0.521  0.250
Sm  0.869  0.619  0.250

No. 15
Compound: Hf2VReH
Source: the Alexandria database
Functional: PBE
Structure: relaxed

Summary:
M_tot in μB/atom: 0.29
Uncorrected energy in eV/atom: -9.14

Lattice parameters (Å, degrees): 4.605 4.605 3.444 90.00 90.00 90.00
Fractional coordinates of all 5 atoms:
Hf  0.000  0.500  0.000
Hf  0.500  0.000  0.000
V  0.000  0.000  0.500
Re  0.500  0.500  0.500
H  0.000  0.000  0.000

No. 16
Compound: Ba2Mg2F
Source: the Alexandria database
Functional: PBE
Structure: relaxed

Summary:
Excess energy over the best structure of this formula in the dataset in meV per atom: 0.0
E_form (uncorrected) in eV/atom: -0.893
M_tot in μB/atom: 0.00
Uncorrected energy in eV/atom: -2.67

Lattice parameters (Å, degrees): 7.624 7.624 6.305 90.00 90.00 90.00
Fractional coordinates of all 10 atoms:
Ba  0.191  0.309  0.000
Ba  0.309  0.809  0.000
Ba  0.691  0.191  0.000
Ba  0.809  0.691  0.000
Mg  0.135  0.635  0.500
Mg  0.365  0.135  0.500
Mg  0.635  0.865  0.500
Mg  0.865  0.365  0.500
F  0.000  0.000  0.000
F  0.500  0.500  0.000

No. 17
Compound: Tb2Ho3Pt2
Source: the Alexandria database
Functional: PBE
Structure: relaxed

Summary:
ΔH_f (0 K) in eV per atom: -0.799
M_tot in μB/atom: 0.00
Uncorrected energy in eV/atom: -5.81

Lattice parameters (Å, degrees): 6.404 6.404 9.031 115.21 115.21 34.07
Fractional coordinates of all 7 atoms:
Tb  0.163  0.163  0.312
Tb  0.837  0.837  0.688
Ho  0.385  0.385  0.065
Ho  0.500  0.500  0.500
Ho  0.615  0.615  0.935
Pt  0.173  0.173  0.739
Pt  0.827  0.827  0.261

No. 18
Compound: CsRbRe3
Source: the Alexandria database
Functional: PBE
Structure: relaxed

Summary:
Excess energy over the best structure of this formula in the dataset in meV per atom: 270.1
ΔH_f (0 K) in eV per atom: 4.204
M_tot in μB/atom: 1.15
Uncorrected energy in eV/atom: -3.63

Lattice parameters (Å, degrees): 5.118 5.118 5.118 90.00 90.00 90.00
Fractional coordinates of all 5 atoms:
Cs  0.000  0.000  0.000
Rb  0.500  0.500  0.500
Re  0.000  0.500  0.500
Re  0.500  0.000  0.500
Re  0.500  0.500  0.000

No. 19
Compound: Sr8As3PBr4
Source: the Alexandria database
Functional: PBE
Structure: relaxed

Summary:
E_form (uncorrected) in eV/atom: -1.583
M_tot in μB/atom: 0.00
Uncorrected energy in eV/atom: -4.05

Lattice parameters (Å, degrees): 9.152 9.152 9.152 59.59 59.59 59.59
Fractional coordinates of all 16 atoms:
Sr  0.237  0.237  0.237
Sr  0.241  0.734  0.734
Sr  0.266  0.266  0.759
Sr  0.266  0.759  0.266
Sr  0.734  0.241  0.734
Sr  0.734  0.734  0.241
Sr  0.759  0.266  0.266
Sr  0.763  0.763  0.763
As  0.000  0.000  0.500
As  0.000  0.500  0.000
As  0.500  0.000  0.000
P  0.500  0.500  0.500
Br  0.000  0.000  0.000
Br  0.000  0.500  0.500
Br  0.500  0.000  0.500
Br  0.500  0.500  0.000

No. 20
Compound: La2Y6HoTm
Source: the Alexandria database
Functional: PBE
Structure: relaxed

Summary:
ΔH_f (0 K) in eV per atom: 0.116
M_tot in μB/atom: 0.00
Uncorrected energy in eV/atom: -5.65

Lattice parameters (Å, degrees): 8.748 8.748 9.941 95.75 95.75 117.50
Fractional coordinates of all 20 atoms:
La  0.194  0.288  0.045
La  0.288  0.194  0.545
La  0.712  0.806  0.455
La  0.806  0.712  0.955
Y  0.020  0.581  0.188
Y  0.121  0.739  0.557
Y  0.261  0.879  0.943
Y  0.299  0.505  0.383
Y  0.419  0.980  0.312
Y  0.495  0.701  0.117
Y  0.505  0.299  0.883
Y  0.581  0.020  0.688
Y  0.701  0.495  0.617
Y  0.739  0.121  0.057
Y  0.879  0.261  0.443
Y  0.980  0.419  0.812
Ho  0.014  0.986  0.250
Ho  0.986  0.014  0.750
Tm  0.403  0.597  0.750
Tm  0.597  0.403  0.250

No. 21
Compound: NdSmY2N4
Source: the Alexandria database
Functional: PBE
Structure: relaxed

Summary:
E_form (uncorrected) in eV/atom: -1.543
M_tot in μB/atom: 0.00
Uncorrected energy in eV/atom: -8.51

Lattice parameters (Å, degrees): 6.148 3.551 6.151 90.00 109.43 90.00
Fractional coordinates of all 8 atoms:
Nd  0.000  0.000  0.000
Sm  0.500  0.500  0.000
Y  0.000  0.500  0.500
Y  0.500  0.000  0.500
N  0.249  0.000  0.743
N  0.255  0.500  0.259
N  0.745  0.500  0.741
N  0.751  0.000  0.257

No. 22
Compound: CeErCO
Source: the Alexandria database
Functional: PBE
Structure: relaxed

Summary:
E_form (uncorrected) in eV/atom: -1.662
M_tot in μB/atom: 0.05
Uncorrected energy in eV/atom: -7.83

Lattice parameters (Å, degrees): 6.124 6.124 6.124 33.63 33.63 33.63
Fractional coordinates of all 4 atoms:
Ce  0.000  0.000  0.000
Er  0.497  0.497  0.497
C  0.747  0.747  0.747
O  0.241  0.241  0.241

So what do the calculations give for calculated density? Going down the list: 10.32, 8.08, 8.32, 6.43, 8.14, 9.95, 2.55, 8.23, 6.35, 9.59, 6.67, 7.17, 9.04, 7.22, 13.53, 3.10, 10.75, 9.62, 3.95, 5.74, 6.93, 8.87 Mg/m³.